(1)
Material: TbHoBi2
Method: DFT, GGA-PBE
State: relaxed

POSCAR file:
```
TbHoBi2
1.0
4.440 0.000 0.000
2.220 3.845 0.000
2.220 1.282 7.586
Ho Tb Bi
1 1 2
Cartesian
6.659 3.845 7.541
4.440 2.563 3.835
2.220 1.282 5.741
2.220 1.282 1.849
```

Summary:
ΔE to the lowest computed polymorph	100	meV/atom
symmetry	R3m, No. 160
calculated formation energy	-0.76	eV per atom



(2)
Material: Tb8HoBi6
Method: DFT, GGA-PBE
State: relaxed

POSCAR file:
```
Tb8HoBi6
1.0
7.669 0.000 0.000
3.834 6.641 0.000
3.834 2.214 9.851
Ho Bi Tb
1 6 8
Cartesian
0.000 0.000 0.000
5.108 4.438 1.832
8.959 6.640 1.832
6.398 6.651 8.018
8.940 2.204 1.832
10.230 4.417 8.018
6.379 2.215 8.018
11.503 6.641 9.850
10.222 4.417 3.576
6.401 6.644 3.576
3.834 2.214 0.001
8.954 6.633 6.275
6.383 2.222 3.576
8.936 2.212 6.275
5.116 4.438 6.275
```

Summary:
symmetry	R-3, No. 148
calculated formation energy	-0.53	eV per atom



(3)
Material: Tb5Ho2Bi5
Method: DFT, GGA-PBE
State: relaxed

POSCAR file:
```
Tb5Ho2Bi5
1.0
4.446 0.000 0.000
-2.223 7.312 -0.387
0.000 -4.141 12.078
Bi Tb Ho
5 5 2
Cartesian
0.000 -0.061 5.162
2.223 3.232 6.529
0.000 0.000 0.000
0.000 3.546 2.389
2.223 -0.376 9.302
2.223 -2.071 6.039
2.223 2.249 0.250
0.000 0.921 11.441
2.223 1.706 3.891
0.000 1.464 7.800
2.223 5.704 2.207
0.000 -2.534 9.484
```

Summary:
symmetry	C2/m, No. 12
calculated formation energy	-0.60	eV per atom



(4)
Material: TbHo3Bi
Method: DFT, GGA-PBE
State: relaxed

POSCAR file:
```
TbHo3Bi
1.0
7.898 -0.709 0.115
-4.494 6.533 -0.115
-3.539 -1.838 6.855
Ho Tb Bi
6 2 2
Cartesian
4.318 -0.290 4.767
-1.553 3.141 5.172
3.363 4.174 1.682
1.675 3.209 4.657
-1.565 1.196 2.198
1.987 1.072 2.203
-5.708 1.628 6.751
4.085 -0.188 0.104
-0.046 0.177 4.718
0.041 4.032 2.137
```

Summary:
symmetry	Ima2, No. 46
calculated formation energy	0.16	eV per atom



(5)
Material: TbHo2ThBi5
Method: DFT, GGA-PBE
State: relaxed

POSCAR file:
```
TbHo2ThBi5
1.0
-0.780 -5.148 -2.366
0.303 -2.423 5.172
-11.820 1.212 1.260
Bi Th Ho Tb
5 1 2 1
Cartesian
-6.300 -1.968 -0.553
-2.861 0.293 0.305
-8.959 0.918 0.955
-5.759 -0.605 3.216
-0.239 -3.785 1.403
-5.910 0.606 0.630
-8.909 -2.897 2.327
-3.388 -3.463 1.739
0.000 0.000 0.000
```

Summary:
symmetry	P4/mmm, No. 123
calculated formation energy	0.24	eV per atom



(6)
Material: Tb3HoTh2Bi6
Method: DFT, GGA-PBE
State: relaxed

POSCAR file:
```
Tb3HoTh2Bi6
1.0
4.533 0.000 0.000
0.000 9.032 0.326
-2.266 -2.597 9.508
Th Bi Tb Ho
2 6 3 1
Cartesian
2.266 4.302 6.594
0.000 2.134 3.240
2.266 4.450 3.338
2.266 -0.165 3.172
0.000 1.986 6.496
2.266 -0.352 9.536
0.000 6.601 6.662
0.000 6.787 0.298
2.266 -0.229 6.376
0.000 6.665 3.457
2.266 4.516 0.163
2.266 0.000 0.000
```

Summary:
symmetry	C2/m, No. 12
calculated formation energy	-0.77	eV per atom



(7)
Material: Tb2HoTh3Bi6
Method: DFT, GGA-PBE
State: relaxed

POSCAR file:
```
Tb2HoTh3Bi6
1.0
4.547 0.000 0.000
0.000 9.049 0.335
-2.273 -2.589 9.547
Bi Th Tb Ho
6 3 2 1
Cartesian
0.000 6.519 6.723
2.273 4.264 9.771
2.273 -0.059 3.159
0.000 2.100 6.471
2.273 4.360 3.411
0.000 2.196 0.111
2.273 -0.214 6.410
0.000 6.674 3.472
2.273 4.525 0.167
2.273 4.309 6.589
0.000 2.151 3.293
2.273 0.000 0.000
```

Summary:
symmetry	C2/m, No. 12
calculated formation energy	-0.71	eV per atom



(8)
Material: Tb3HoTm2Bi6
Method: DFT, GGA-PBE
State: relaxed

POSCAR file:
```
Tb3HoTm2Bi6
1.0
4.464 0.000 0.000
0.000 8.922 0.326
-2.232 -2.562 9.383
Tb Bi Ho Tm
3 6 1 2
Cartesian
0.000 6.579 3.394
2.232 4.461 0.163
2.232 -0.219 6.315
0.000 2.039 6.373
0.000 6.446 6.560
0.000 2.217 0.101
2.232 4.321 3.336
2.232 4.144 9.608
2.232 -0.085 3.149
2.232 0.000 0.000
2.232 4.242 6.472
0.000 2.118 3.237
```

Summary:
symmetry	C2/m, No. 12
calculated formation energy	-0.84	eV per atom